AlBr8 | PBE | relaxed

a = 13.0110 Å, b = 13.0110 Å, c = 13.0110 Å
α = 90.58°, β = 90.58°, γ = 168.48°
Fractional coordinates of all 9 atoms:
1 Al 0.0000 0.0000 0.0000
2 Br 0.0000 0.3248 0.3248
3 Br 0.0000 0.6752 0.6752
4 Br 0.3248 0.0000 0.3248
5 Br 0.3873 0.3873 0.7746
6 Br 0.3873 0.6127 0.0000
7 Br 0.6127 0.3873 0.0000
8 Br 0.6127 0.6127 0.2254
9 Br 0.6752 0.0000 0.6752

**N(E_F)**: 7.69 states/eV/cell
**Theoretical density**: 2.53 g/cm3
**Uncorrected formation energy**: 0.02 eV/atom
**Space-group type**: I4/mmm, No. 139


BaMg2Zn | PBE | relaxed

a = 4.8830 Å, b = 4.8830 Å, c = 6.7212 Å
α = 111.41°, β = 111.41°, γ = 60.09°
Fractional coordinates of all 4 atoms:
1 Ba 0.0000 0.0000 0.0000
2 Mg 0.5210 0.5210 0.5644
3 Mg 0.8032 0.8032 0.4113
4 Zn 0.1922 0.1922 0.5783

**N(E_F)**: 3.11 states/eV/cell
**Theoretical density**: 3.31 g/cm3
**Energy relative to the elements**: -0.069 eV per atom
**Space-group type**: Cm, No. 8


Li4Ag4Bi | PBE | relaxed

a = 6.5111 Å, b = 6.5111 Å, c = 6.5111 Å
α = 96.59°, β = 96.59°, γ = 140.40°
Fractional coordinates of all 9 atoms:
1 Li 0.1670 0.1670 0.3340
2 Li 0.1670 0.8330 0.0000
3 Li 0.8330 0.1670 0.0000
4 Li 0.8330 0.8330 0.6660
5 Ag 0.1598 0.5000 0.6598
6 Ag 0.5000 0.1598 0.6598
7 Ag 0.5000 0.8402 0.3402
8 Ag 0.8402 0.5000 0.3402
9 Bi 0.5000 0.5000 0.0000

**N(E_F)**: 3.15 states/eV/cell
**Theoretical density**: 6.70 g/cm3
**Energy relative to the elements**: -0.220 eV per atom
**Space-group type**: I4/mmm, No. 139


La5PrY2 | PBE | relaxed

a = 6.7256 Å, b = 6.7256 Å, c = 16.6938 Å
α = 90.00°, β = 90.00°, γ = 129.63°
Fractional coordinates of all 16 atoms:
1 La 0.0298 0.9702 0.7500
2 La 0.1170 0.8830 0.0505
3 La 0.1170 0.8830 0.4495
4 La 0.4258 0.5742 0.0935
5 La 0.4258 0.5742 0.4065
6 La 0.5742 0.4258 0.5935
7 La 0.5742 0.4258 0.9065
8 La 0.8830 0.1170 0.5505
9 La 0.8830 0.1170 0.9495
10 La 0.9702 0.0298 0.2500
11 Pr 0.2485 0.7515 0.2500
12 Pr 0.7515 0.2485 0.7500
13 Y 0.2742 0.7258 0.6352
14 Y 0.2742 0.7258 0.8648
15 Y 0.7258 0.2742 0.1352
16 Y 0.7258 0.2742 0.3648

**N(E_F)**: 24.59 states/eV/cell
**Theoretical density**: 5.79 g/cm3
**Energy relative to the elements**: 0.112 eV per atom
**Space-group type**: Cmcm, No. 63


Ce2PaCu6 | PBE | relaxed

a = 7.6432 Å, b = 7.6432 Å, c = 3.1872 Å
α = 90.00°, β = 90.00°, γ = 120.00°
Fractional coordinates of all 9 atoms:
1 Ce 0.3333 0.6667 0.0000
2 Ce 0.6667 0.3333 0.0000
3 Pa 0.0000 0.0000 0.0000
4 Cu 0.0000 0.3314 0.5000
5 Cu 0.0000 0.6686 0.5000
6 Cu 0.3314 0.0000 0.5000
7 Cu 0.3314 0.3314 0.5000
8 Cu 0.6686 0.0000 0.5000
9 Cu 0.6686 0.6686 0.5000

**N(E_F)**: 8.36 states/eV/cell
**Theoretical density**: 9.19 g/cm3
**Energy relative to the elements**: -0.109 eV per atom
**Space-group type**: P6/mmm, No. 191


Tb2MgRh | PBE | relaxed

a = 5.0742 Å, b = 5.0742 Å, c = 5.0742 Å
α = 60.00°, β = 60.00°, γ = 60.00°
Fractional coordinates of all 4 atoms:
1 Tb 0.2500 0.2500 0.2500
2 Tb 0.7500 0.7500 0.7500
3 Mg 0.0000 0.0000 0.0000
4 Rh 0.5000 0.5000 0.5000

**N(E_F)**: 1.58 states/eV/cell
**Theoretical density**: 8.00 g/cm3
**Energy relative to the elements**: -0.398 eV per atom
**Space-group type**: Fm-3m, No. 225


CaTcAs2 | PBE | relaxed

a = 6.7767 Å, b = 6.7767 Å, c = 6.7767 Å
α = 32.90°, β = 32.90°, γ = 32.90°
Fractional coordinates of all 4 atoms:
1 Ca 0.0000 0.0000 0.0000
2 Tc 0.5000 0.5000 0.5000
3 As 0.2330 0.2330 0.2330
4 As 0.7670 0.7670 0.7670

**N(E_F)**: 1.22 states/eV/cell
**Theoretical density**: 5.85 g/cm3
**Energy relative to the elements**: -0.439 eV per atom
**Space-group type**: R-3m, No. 166


Hg6PbF12 | PBE | relaxed

a = 7.1035 Å, b = 7.1035 Å, c = 7.1035 Å
α = 100.46°, β = 100.46°, γ = 100.46°
Fractional coordinates of all 19 atoms:
1 Hg 0.1075 0.8203 0.6411
2 Hg 0.1797 0.3589 0.8925
3 Hg 0.3589 0.8925 0.1797
4 Hg 0.6411 0.1075 0.8203
5 Hg 0.8203 0.6411 0.1075
6 Hg 0.8925 0.1797 0.3589
7 Pb 0.5000 0.5000 0.5000
8 F 0.0785 0.6769 0.9166
9 F 0.0834 0.9215 0.3231
10 F 0.1707 0.4096 0.5662
11 F 0.3231 0.0834 0.9215
12 F 0.4096 0.5662 0.1707
13 F 0.4338 0.8293 0.5904
14 F 0.5662 0.1707 0.4096
15 F 0.5904 0.4338 0.8293
16 F 0.6769 0.9166 0.0785
17 F 0.8293 0.5904 0.4338
18 F 0.9166 0.0785 0.6769
19 F 0.9215 0.3231 0.0834

**N(E_F)**: 1.68 states/eV/cell
**Theoretical density**: 8.05 g/cm3
**Uncorrected formation energy**: -1.47 eV/atom
**Space-group type**: R-3, No. 148


Sr2Si2Ru | PBE | relaxed

a = 6.7363 Å, b = 6.7363 Å, c = 4.9009 Å
α = 90.00°, β = 90.00°, γ = 90.00°
Fractional coordinates of all 10 atoms:
1 Sr 0.1825 0.3175 0.0000
2 Sr 0.3175 0.8175 0.0000
3 Sr 0.6825 0.1825 0.0000
4 Sr 0.8175 0.6825 0.0000
5 Si 0.1313 0.6313 0.5000
6 Si 0.3687 0.1313 0.5000
7 Si 0.6313 0.8687 0.5000
8 Si 0.8687 0.3687 0.5000
9 Ru 0.0000 0.0000 0.5000
10 Ru 0.5000 0.5000 0.5000

**N(E_F)**: 2.02 states/eV/cell
**Theoretical density**: 4.97 g/cm3
**Uncorrected formation energy**: -0.19 eV/atom
**Space-group type**: P4/mbm, No. 127


Hf2ScZnIr | PBE | relaxed

a = 4.8464 Å, b = 4.8464 Å, c = 4.6299 Å
α = 90.00°, β = 90.00°, γ = 90.00°
Fractional coordinates of all 5 atoms:
1 Hf 0.0000 0.5000 0.0000
2 Hf 0.5000 0.0000 0.0000
3 Sc 0.0000 0.0000 0.0000
4 Zn 0.0000 0.0000 0.5000
5 Ir 0.5000 0.5000 0.5000

**N(E_F)**: 6.64 states/eV/cell
**Theoretical density**: 10.07 g/cm3
**Energy relative to the elements**: 1.478 eV per atom
**Space-group type**: P4/mmm, No. 123


TaMn2HgS | PBE | relaxed

a = 4.7504 Å, b = 4.7504 Å, c = 4.6533 Å
α = 90.00°, β = 90.00°, γ = 90.00°
Fractional coordinates of all 5 atoms:
1 Ta 0.0000 0.0000 0.0000
2 Mn 0.0000 0.5000 0.5000
3 Mn 0.5000 0.0000 0.5000
4 Hg 0.5000 0.5000 0.5000
5 S 0.5000 0.5000 0.0000

**N(E_F)**: 4.98 states/eV/cell
**Theoretical density**: 8.28 g/cm3
**Uncorrected formation energy**: 2.36 eV/atom
**Space-group type**: P4/mmm, No. 123


BWCl2 | PBE | relaxed

a = 4.2828 Å, b = 4.2828 Å, c = 4.2828 Å
α = 60.00°, β = 60.00°, γ = 60.00°
Fractional coordinates of all 4 atoms:
1 B 0.0000 0.0000 0.0000
2 W 0.5000 0.5000 0.5000
3 Cl 0.2500 0.2500 0.2500
4 Cl 0.7500 0.7500 0.7500

**N(E_F)**: 3.22 states/eV/cell
**Theoretical density**: 7.94 g/cm3
**Uncorrected formation energy**: 1.48 eV/atom
**Space-group type**: Fm-3m, No. 225


Magnetic moment, respectively: 0.78; 0.00; 0.00; 0.00; 0.47; 0.00; 0.00; 0.00; 0.00; 0.24; 0.29; 0.00 μB/cell.